# Cr3Cl

A geometry-optimized Cr3Cl structure (PBE-GGA, Alexandria).

a b c (Å): 7.8100 7.8100 7.8100
angles (deg): 22.15 22.15 22.15
Sites, in units of the cell vectors:
Cr 0.0000 0.0000 0.0000
Cr 0.2550 0.2550 0.2550
Cr 0.7450 0.7450 0.7450
Cl 0.5000 0.5000 0.5000

Results
The calculation puts the density of states at the Fermi level at 0.941 states/eV per atom. The uncorrected formation energy comes out at 0.31 eV/atom. For the volume, the calculation gives 59.4 Å³/cell. The value obtained for the energy relative to the lowest polymorph listed for this composition is 154 meV per atom. Its magnetization is 4.04 μB/cell.

# Cr2Cl

A geometry-optimized Cr2Cl structure (PBE-GGA, Alexandria).

a b c (Å): 9.1657 9.1657 3.0215
angles (deg): 90.00 90.00 152.53
Sites, in units of the cell vectors:
Cr 0.1675 0.8325 0.7500
Cr 0.2702 0.7298 0.2500
Cr 0.7298 0.2702 0.7500
Cr 0.8325 0.1675 0.2500
Cl 0.3969 0.6031 0.7500
Cl 0.6031 0.3969 0.2500

Results
The calculation puts the density of states at the Fermi level at 0.262 states/eV per atom. The uncorrected formation energy comes out at 0.18 eV/atom. For the volume, the calculation gives 117.1 Å³/cell. The value obtained for the energy relative to the lowest polymorph listed for this composition is 285 meV per atom. Its magnetization is 0.87 μB/cell.

# CrCl

A geometry-optimized CrCl structure (PBE-GGA, Alexandria).

a b c (Å): 6.2033 6.1808 5.6005
angles (deg): 63.32 62.91 53.77
Sites, in units of the cell vectors:
Cr 0.0279 0.0279 0.2221
Cr 0.2221 0.2221 0.0279
Cr 0.7779 0.7779 0.9721
Cr 0.9721 0.9721 0.7779
Cl 0.1643 0.5857 0.5857
Cl 0.4143 0.8357 0.8357
Cl 0.5857 0.1643 0.1643
Cl 0.8357 0.4143 0.4143

Results
The calculation puts the density of states at the Fermi level at 0.848 states/eV per atom. The uncorrected formation energy comes out at 0.12 eV/atom. For the volume, the calculation gives 149.3 Å³/cell. Its magnetization is 0.79 μB/cell.

# Cr2Cl

A geometry-optimized Cr2Cl structure (PBE-GGA, Alexandria).

a b c (Å): 5.4163 5.4163 5.4163
angles (deg): 149.33 149.33 43.92
Sites, in units of the cell vectors:
Cr 0.1876 0.1876 0.0000
Cr 0.8124 0.8124 0.0000
Cl 0.5000 0.5000 0.0000

Results
The calculation puts the density of states at the Fermi level at 1.284 states/eV per atom. The uncorrected formation energy comes out at 0.54 eV/atom. For the volume, the calculation gives 41.2 Å³/cell. The value obtained for the energy relative to the lowest polymorph listed for this composition is 646 meV per atom. Its magnetization is 0.00 μB/cell.

# CrCl3

A geometry-optimized CrCl3 structure (PBE-GGA, Alexandria).

a b c (Å): 4.7308 4.7308 4.7308
angles (deg): 90.00 90.00 90.00
Sites, in units of the cell vectors:
Cr 0.0000 0.0000 0.0000
Cl 0.0000 0.0000 0.5000
Cl 0.0000 0.5000 0.0000
Cl 0.5000 0.0000 0.0000

Results
The calculation puts the density of states at the Fermi level at 1.662 states/eV per atom. The uncorrected formation energy comes out at -0.79 eV/atom. For the volume, the calculation gives 105.9 Å³/cell. Its magnetization is 3.00 μB/cell.

# Cr3Cl

A geometry-optimized Cr3Cl structure (PBE-GGA, Alexandria).

a b c (Å): 2.9549 3.0262 6.9707
angles (deg): 90.00 90.00 90.00
Sites, in units of the cell vectors:
Cr 0.0000 0.0000 0.0000
Cr 0.5000 0.5000 0.2042
Cr 0.5000 0.5000 0.7958
Cl 0.0000 0.5000 0.5000

Results
The calculation puts the density of states at the Fermi level at 0.571 states/eV per atom. The uncorrected formation energy comes out at 0.15 eV/atom. For the volume, the calculation gives 62.3 Å³/cell. The value obtained for the energy relative to the lowest polymorph listed for this composition is 0 meV per atom. Its magnetization is 3.92 μB/cell.

# CrCl

A geometry-optimized CrCl structure (PBE-GGA, Alexandria).

a b c (Å): 9.9562 9.9562 3.1490
angles (deg): 90.00 90.00 90.00
Sites, in units of the cell vectors:
Cr 0.0847 0.6217 0.0000
Cr 0.1084 0.4014 0.5000
Cr 0.3783 0.0847 0.0000
Cr 0.4014 0.8916 0.5000
Cr 0.5986 0.1084 0.5000
Cr 0.6217 0.9153 0.0000
Cr 0.8916 0.5986 0.5000
Cr 0.9153 0.3783 0.0000
Cl 0.1697 0.7946 0.5000
Cl 0.2054 0.1697 0.5000
Cl 0.2780 0.4784 0.0000
Cl 0.4784 0.7220 0.0000
Cl 0.5216 0.2780 0.0000
Cl 0.7220 0.5216 0.0000
Cl 0.7946 0.8303 0.5000
Cl 0.8303 0.2054 0.5000

Results
The calculation puts the density of states at the Fermi level at 0.821 states/eV per atom. The uncorrected formation energy comes out at -0.38 eV/atom. For the volume, the calculation gives 312.2 Å³/cell. Its magnetization is 0.10 μB/cell.

# CrCl4

A geometry-optimized CrCl4 structure (PBE-GGA, Alexandria).

a b c (Å): 7.2308 7.2308 5.9222
angles (deg): 91.72 91.72 60.48
Sites, in units of the cell vectors:
Cr 0.1423 0.8577 0.7500
Cr 0.8577 0.1423 0.2500
Cl 0.0050 0.7917 0.0682
Cl 0.2083 0.9950 0.4318
Cl 0.2260 0.5478 0.6055
Cl 0.4522 0.7740 0.8945
Cl 0.5478 0.2260 0.1055
Cl 0.7740 0.4522 0.3945
Cl 0.7917 0.0050 0.5682
Cl 0.9950 0.2083 0.9318

Results
The calculation puts the density of states at the Fermi level at 1.092 states/eV per atom. The uncorrected formation energy comes out at -0.85 eV/atom. For the volume, the calculation gives 269.3 Å³/cell. Its magnetization is 4.00 μB/cell.

# CrCl

A geometry-optimized CrCl structure (PBE-GGA, Alexandria).

a b c (Å): 7.2250 7.2250 7.2250
angles (deg): 90.00 90.00 90.00
Sites, in units of the cell vectors:
Cr 0.0000 0.2500 0.5000
Cr 0.0000 0.7500 0.5000
Cr 0.2500 0.5000 0.0000
Cr 0.5000 0.0000 0.2500
Cr 0.5000 0.0000 0.7500
Cr 0.7500 0.5000 0.0000
Cl 0.0000 0.5000 0.2500
Cl 0.0000 0.5000 0.7500
Cl 0.2500 0.0000 0.5000
Cl 0.5000 0.2500 0.0000
Cl 0.5000 0.7500 0.0000
Cl 0.7500 0.0000 0.5000

Results
The calculation puts the density of states at the Fermi level at 0.534 states/eV per atom. The uncorrected formation energy comes out at 0.04 eV/atom. For the volume, the calculation gives 377.1 Å³/cell. Its magnetization is 29.98 μB/cell.

# Cr2Cl

A geometry-optimized Cr2Cl structure (PBE-GGA, Alexandria).

a b c (Å): 5.4139 5.4139 5.4139
angles (deg): 90.00 90.00 90.00
Sites, in units of the cell vectors:
Cr 0.1152 0.1152 0.1152
Cr 0.1152 0.3848 0.6152
Cr 0.3848 0.6152 0.1152
Cr 0.3848 0.8848 0.6152
Cr 0.6152 0.1152 0.3848
Cr 0.6152 0.3848 0.8848
Cr 0.8848 0.6152 0.3848
Cr 0.8848 0.8848 0.8848
Cl 0.0000 0.0000 0.5000
Cl 0.0000 0.5000 0.0000
Cl 0.5000 0.0000 0.0000
Cl 0.5000 0.5000 0.5000

Results
The calculation puts the density of states at the Fermi level at 1.141 states/eV per atom. The uncorrected formation energy comes out at 0.93 eV/atom. For the volume, the calculation gives 158.7 Å³/cell. The value obtained for the energy relative to the lowest polymorph listed for this composition is 1035 meV per atom. Its magnetization is 0.00 μB/cell.

# CrCl3

A geometry-optimized CrCl3 structure (PBE-GGA, Alexandria).

a b c (Å): 7.3199 7.3199 7.3199
angles (deg): 48.90 48.90 48.90
Sites, in units of the cell vectors:
Cr 0.1667 0.1667 0.1667
Cr 0.8333 0.8333 0.8333
Cl 0.0711 0.4308 0.7904
Cl 0.2096 0.9289 0.5692
Cl 0.4308 0.7904 0.0711
Cl 0.5692 0.2096 0.9289
Cl 0.7904 0.0711 0.4308
Cl 0.9289 0.5692 0.2096

Results
The uncorrected formation energy comes out at -1.12 eV/atom. For the volume, the calculation gives 204.4 Å³/cell. Its magnetization is 6.00 μB/cell.

# CrCl3

A geometry-optimized CrCl3 structure (PBE-GGA, Alexandria).

a b c (Å): 3.4061 3.4061 9.4508
angles (deg): 90.00 90.00 120.00
Sites, in units of the cell vectors:
Cr 0.0000 0.0000 0.0000
Cl 0.0000 0.0000 0.5000
Cl 0.3333 0.6667 0.1625
Cl 0.3333 0.6667 0.8375

Results
The calculation puts the density of states at the Fermi level at 0.755 states/eV per atom. The uncorrected formation energy comes out at -0.34 eV/atom. For the volume, the calculation gives 95.0 Å³/cell. Its magnetization is 4.55 μB/cell.

Question: Which formula does entry 7 have?
Answer: CrCl

Question: Which value of magnetization does entry 3 give?
Answer: 0.79 μB/cell

Question: magnetization of number 7 (CrCl)?
Answer: 0.10 μB/cell